Record 1
Material: CrCo2Pt
Method: DFT, GGA-PBE
State: optimized geometry

extended XYZ file:
```
16
Lattice="5.834 0.000 0.000 0.000 5.834 0.000 0.000 0.000 5.834" Properties=species:S:1:pos:R:3 pbc="T T T"
Cr 0.000 0.000 0.000
Cr 0.000 2.917 2.917
Cr 2.917 0.000 2.917
Cr 2.917 2.917 0.000
Co 1.459 1.459 1.459
Co 1.459 1.459 4.376
Co 1.459 4.376 1.459
Co 1.459 4.376 4.376
Co 4.376 1.459 1.459
Co 4.376 1.459 4.376
Co 4.376 4.376 1.459
Co 4.376 4.376 4.376
Pt 0.000 0.000 2.917
Pt 0.000 2.917 0.000
Pt 2.917 0.000 0.000
Pt 2.917 2.917 2.917
```

Results
Crystal system = cubic
SG = No. 225
Formation energy = 154 meV/atom

=====

Record 2
Material: CrCo2Pt
Method: DFT, GGA-PBE
State: optimized geometry

extended XYZ file:
```
8
Lattice="8.498 0.000 0.000 0.000 2.624 0.000 -0.835 0.000 4.445" Properties=species:S:1:pos:R:3 pbc="T T T"
Cr 0.000 0.000 0.000
Cr 4.249 1.312 0.000
Co 1.900 1.312 1.008
Co 1.513 0.000 3.437
Co 6.149 0.000 1.008
Co 5.762 1.312 3.437
Pt -0.418 1.312 2.222
Pt 3.831 0.000 2.222
```

Results
Crystal system = monoclinic
SG = No. 12
Formation energy = 9 meV/atom

=====

Record 3
Material: CrCo2Pt
Method: DFT, GGA-PBE
State: optimized geometry

extended XYZ file:
```
8
Lattice="5.185 0.000 0.000 0.000 7.242 0.000 0.000 0.000 2.645" Properties=species:S:1:pos:R:3 pbc="T T T"
Cr 0.000 0.000 0.000
Cr 2.592 3.621 0.000
Co 1.296 1.810 1.323
Co 1.296 5.431 1.323
Co 3.888 1.810 1.323
Co 3.888 5.431 1.323
Pt 0.000 3.621 0.000
Pt 2.592 0.000 0.000
```

Results
Crystal system = orthorhombic
SG = No. 65
Formation energy = 51 meV/atom

=====

Record 4
Material: Cr2CoPt
Method: DFT, GGA-PBE
State: optimized geometry

extended XYZ file:
```
12
Lattice="2.611 0.000 0.000 -1.306 2.261 0.000 0.000 0.000 25.390" Properties=species:S:1:pos:R:3 pbc="T T T"
Cr 0.000 0.000 6.207
Cr 0.000 0.000 19.183
Cr 0.000 1.508 10.720
Cr 0.000 1.508 23.133
Cr 1.306 0.754 2.257
Cr 1.306 0.754 14.670
Co 0.000 0.000 12.695
Co 0.000 1.508 4.232
Co 1.306 0.754 21.158
Pt 0.000 0.000 0.000
Pt 0.000 1.508 16.927
Pt 1.306 0.754 8.463
```

Results
Polymorph energy (0 for the lowest one) = 191 meV per atom
Crystal system = trigonal
SG = No. 166
Formation energy = 117 meV/atom